Entry 1:
Here is a relaxed LaDyMg crystal from the Alexandria database. Energies are from PBE-GGA.

abc: 5.5669 5.5669 3.4214
angles: 90.00 90.00 120.00
Last column: nearest neighbours and their distance in Å.
Fractional positions:
La (0.0000, 0.0000, 0.0000)  3 Mg 3.41, 2 La 3.42, 6 Dy 3.53-3.77
Dy (0.3333, 0.6667, 0.5761)  3 Mg 3.32, 2 Dy 3.42, 3 La 3.53
Mg (0.6667, 0.3333, 0.3304)  3 Dy 3.32, 3 La 3.41, 2 Mg 3.42

Output
Energy above the most stable polymorph in this dataset in meV/atom: 84
N(E_F) in states/eV per atom: 1.29
ΔE_f in kcal/mol of atoms: 0.9

***

Entry 2:
Here is a relaxed LaDy2Mg2 crystal from the Alexandria database. Energies are from PBE-GGA.

abc: 3.7992 5.5464 14.1666
angles: 90.00 97.73 90.00
Last column: nearest neighbours and their distance in Å.
Fractional positions:
La (0.1501, 0.2500, 0.2995)  6 Mg 3.37-3.41, 4 Dy 3.69-3.71
La (0.8499, 0.7500, 0.7005)  6 Mg 3.37-3.41, 4 Dy 3.69-3.71
Dy (0.0457, 0.7500, 0.0920)  8 Mg 3.27-3.36
Dy (0.2374, 0.7500, 0.4746)  2 Mg 3.31, 4 Dy 3.44, 2 La 3.69-3.70
Dy (0.7626, 0.2500, 0.5254)  2 Mg 3.31, 4 Dy 3.44, 2 La 3.69-3.70
Dy (0.9543, 0.2500, 0.9080)  8 Mg 3.27-3.36
Mg (0.3594, 0.2500, 0.7182)  4 Dy 3.27-3.31, 4 La 3.37
Mg (0.4507, 0.7500, 0.9020)  6 Dy 3.27-3.36, 2 La 3.41
Mg (0.5493, 0.2500, 0.0980)  6 Dy 3.27-3.36, 2 La 3.41
Mg (0.6406, 0.7500, 0.2818)  4 Dy 3.27-3.31, 4 La 3.37

Output
N(E_F) in states/eV per atom: 1.14
ΔE_f in kcal/mol of atoms: -1.5

***

Entry 3:
Here is a relaxed La2DyMg crystal from the Alexandria database. Energies are from PBE-GGA.

abc: 3.8040 3.8040 9.1154
angles: 90.00 90.00 90.00
Last column: nearest neighbours and their distance in Å.
Fractional positions:
La (0.0000, 0.0000, 0.2329)  4 Mg 3.43, 4 Dy 3.63, 4 La 3.80
La (0.0000, 0.0000, 0.7671)  4 Mg 3.43, 4 Dy 3.63, 4 La 3.80
Dy (0.5000, 0.5000, 0.5000)  8 La 3.63, 4 Dy 3.80
Mg (0.5000, 0.5000, 0.0000)  8 La 3.43, 4 Mg 3.80

Output
Energy above the most stable polymorph in this dataset in meV/atom: 12
N(E_F) in states/eV per atom: 1.39
ΔE_f in kcal/mol of atoms: -0.6

***

Number 1: E_tot -3.670 eV/atom. Number 2: E_tot -3.529 eV/atom. Number 3: E_tot -4.039 eV/atom.